MgV5Ru6 | PBE-GGA | optimized geometry

Results
Energy of formation from the pure elements ... -0.273 eV per atom
V ... 13.76 Å³/atom
Calculated total energy ... -8.84 eV per atom

Unit cell a=4.273 b=6.027 c=7.398 alpha=114.04 beta=106.79 gamma=90.00
Site moments in Bohr magnetons follow the coordinates.
Positions (direct):
V: 0.335 0.335 0.670  0.07
Ru: 0.500 0.746 0.000  -0.01
V: 0.665 0.665 0.330  0.07
Ru: 0.169 0.421 0.339  -0.01
V: 0.333 0.833 0.666  0.04
V: 0.667 0.167 0.334  0.04
Ru: 0.169 0.918 0.339  -0.01
Ru: 0.831 0.579 0.661  -0.01
Ru: 0.500 0.254 0.000  -0.01
V: 0.000 0.500 0.000  0.06
Ru: 0.831 0.082 0.661  -0.01
Mg: 0.000 0.000 0.000  0.00